First-principles (meta-GGA SCAN) data for a PBEsol-optimized structure of RbCuMo3, as listed in Alexandria.

- total magnetization (μB per formula unit) = 5.8
- DFT formation energy (kJ/mol of formula units) = 1068
- V (Å³/f.u.) = 105

a = 4.722 Å, b = 4.722 Å, c = 4.722 Å
α = 90.00°, β = 90.00°, γ = 90.00°
Fractional positions:
Rb: 0.000 0.000 0.000
Cu: 0.500 0.500 0.500
Mo: 0.000 0.500 0.500
Mo: 0.500 0.000 0.500
Mo: 0.500 0.500 0.000



First-principles (meta-GGA SCAN) data for a PBEsol-optimized structure of Rb2CuMoRu, as listed in Alexandria.

- total magnetization (μB per formula unit) = 7.8
- DFT formation energy (kJ/mol of formula units) = 986
- V (Å³/f.u.) = 199

a = 6.479 Å, b = 6.479 Å, c = 4.738 Å
α = 90.00°, β = 90.00°, γ = 90.00°
Fractional positions:
Rb: 0.000 0.500 0.000
Rb: 0.500 0.000 0.000
Cu: 0.000 0.000 0.500
Mo: 0.000 0.000 0.000
Ru: 0.500 0.500 0.500



First-principles (meta-GGA SCAN) data for a PBEsol-optimized structure of CuReMo, as listed in Alexandria.

- total magnetization (μB per formula unit) = 0.0
- DFT formation energy (kJ/mol of formula units) = 289
- polymorph energy (0 for the lowest one) (meV per atom) = 664
- V (Å³/f.u.) = 46

a = 4.027 Å, b = 4.027 Å, c = 4.027 Å
α = 60.00°, β = 60.00°, γ = 60.00°
Fractional positions:
Cu: 0.000 0.000 0.000
Re: 0.250 0.250 0.250
Mo: 0.750 0.750 0.750



First-principles (meta-GGA SCAN) data for a PBEsol-optimized structure of Cu2ReMo, as listed in Alexandria.

- total magnetization (μB per formula unit) = 0.0
- DFT formation energy (kJ/mol of formula units) = 91
- V (Å³/f.u.) = 53

a = 4.612 Å, b = 4.612 Å, c = 4.612 Å
α = 132.16°, β = 132.16°, γ = 69.97°
Fractional positions:
Cu: 0.000 0.000 0.000
Cu: 0.750 0.250 0.500
Re: 0.250 0.750 0.500
Mo: 0.500 0.500 0.000



First-principles (meta-GGA SCAN) data for a PBEsol-optimized structure of CuReMo2, as listed in Alexandria.

- total magnetization (μB per formula unit) = 0.0
- DFT formation energy (kJ/mol of formula units) = 88
- polymorph energy (0 for the lowest one) (meV per atom) = 28
- V (Å³/f.u.) = 57

a = 4.967 Å, b = 4.967 Å, c = 4.967 Å
α = 141.59°, β = 130.46°, γ = 64.38°
Fractional positions:
Cu: 0.000 0.000 0.000
Re: 0.500 0.500 0.000
Mo: 0.260 0.760 0.500
Mo: 0.740 0.240 0.500



First-principles (meta-GGA SCAN) data for a PBEsol-optimized structure of CuReMo2, as listed in Alexandria.

- total magnetization (μB per formula unit) = 0.0
- DFT formation energy (kJ/mol of formula units) = 78
- polymorph energy (0 for the lowest one) (meV per atom) = 0
- V (Å³/f.u.) = 57

a = 3.201 Å, b = 3.201 Å, c = 5.550 Å
α = 90.00°, β = 90.00°, γ = 90.00°
Fractional positions:
Cu: 0.000 0.000 0.000
Re: 0.000 0.000 0.500
Mo: 0.500 0.500 0.236
Mo: 0.500 0.500 0.764



First-principles (meta-GGA SCAN) data for a PBEsol-optimized structure of CuReMo2, as listed in Alexandria.

- total magnetization (μB per formula unit) = 0.0
- DFT formation energy (kJ/mol of formula units) = 146
- polymorph energy (0 for the lowest one) (meV per atom) = 178
- V (Å³/f.u.) = 58

a = 9.202 Å, b = 9.202 Å, c = 9.202 Å
α = 16.97°, β = 16.97°, γ = 16.97°
Fractional positions:
Cu: 0.000 0.000 0.000
Re: 0.747 0.747 0.747
Mo: 0.251 0.251 0.251
Mo: 0.497 0.497 0.497



First-principles (meta-GGA SCAN) data for a PBEsol-optimized structure of CuReMo, as listed in Alexandria.

- total magnetization (μB per formula unit) = 0.0
- DFT formation energy (kJ/mol of formula units) = 97
- polymorph energy (0 for the lowest one) (meV per atom) = 0
- V (Å³/f.u.) = 42

a = 2.691 Å, b = 2.691 Å, c = 6.745 Å
α = 90.00°, β = 90.00°, γ = 120.00°
Fractional positions:
Cu: 0.000 0.000 0.000
Re: 0.333 0.667 0.325
Mo: 0.667 0.333 0.667



First-principles (meta-GGA SCAN) data for a PBEsol-optimized structure of CuMoRh, as listed in Alexandria.

- total magnetization (μB per formula unit) = 0.0
- DFT formation energy (kJ/mol of formula units) = 12
- polymorph energy (0 for the lowest one) (meV per atom) = 101
- V (Å³/f.u.) = 40

a = 4.204 Å, b = 4.204 Å, c = 2.627 Å
α = 90.00°, β = 90.00°, γ = 120.00°
Fractional positions:
Cu: 0.000 0.000 0.000
Mo: 0.333 0.667 0.500
Rh: 0.667 0.333 0.000



First-principles (meta-GGA SCAN) data for a PBEsol-optimized structure of CuMo3Rh, as listed in Alexandria.

- total magnetization (μB per formula unit) = 0.0
- DFT formation energy (kJ/mol of formula units) = 826
- V (Å³/f.u.) = 84

a = 4.387 Å, b = 4.387 Å, c = 4.387 Å
α = 90.00°, β = 90.00°, γ = 90.00°
Fractional positions:
Cu: 0.000 0.000 0.000
Mo: 0.000 0.000 0.500
Mo: 0.000 0.500 0.000
Mo: 0.500 0.000 0.000
Rh: 0.500 0.500 0.500



First-principles (meta-GGA SCAN) data for a PBEsol-optimized structure of CuMoRh, as listed in Alexandria.

- total magnetization (μB per formula unit) = 0.0
- DFT formation energy (kJ/mol of formula units) = -18
- polymorph energy (0 for the lowest one) (meV per atom) = 0
- V (Å³/f.u.) = 40

a = 4.571 Å, b = 4.571 Å, c = 4.571 Å
α = 145.52°, β = 131.55°, γ = 60.82°
Fractional positions:
Cu: 0.000 0.000 0.000
Mo: 0.666 0.666 0.000
Rh: 0.335 0.335 0.000



First-principles (meta-GGA SCAN) data for a PBEsol-optimized structure of Cu2MoRu, as listed in Alexandria.

- total magnetization (μB per formula unit) = 0.0
- DFT formation energy (kJ/mol of formula units) = 106
- V (Å³/f.u.) = 52

a = 4.200 Å, b = 4.200 Å, c = 4.200 Å
α = 60.00°, β = 60.00°, γ = 60.00°
Fractional positions:
Cu: 0.000 0.000 0.000
Cu: 0.250 0.250 0.250
Mo: 0.750 0.750 0.750
Ru: 0.500 0.500 0.500